# 1
VASP calculation (GGA-PBE) on a relaxed ErLuScFeSi3 crystal.

Structure (extended XYZ):
```
14
Lattice="-2.351 -4.936 0.168 0.469 -4.500 3.073 -7.675 8.702 6.147" Properties=species:S:1:pos:R:3 pbc="T T T"
Si -6.681 1.198 6.307
Si -2.876 -1.932 3.081
Si -8.001 4.941 7.027
Si -1.556 -5.675 2.361
Si -4.009 0.124 3.874
Si -5.548 -0.858 5.515
Er -2.791 -8.147 3.930
Er -6.767 7.413 5.458
Fe -8.409 0.910 8.027
Fe -1.148 -1.644 1.361
Lu -6.029 3.964 5.259
Lu -3.528 -4.699 4.129
Sc -3.423 2.739 2.912
Sc -6.135 -3.473 6.476
```

Summary:
- SG = C2/m
- ΔE to the lowest computed polymorph (meV per atom) = 19

***

# 2
VASP calculation (GGA-PBE) on a relaxed ErLuScFeSi3 crystal.

Structure (extended XYZ):
```
14
Lattice="0.848 -1.196 -5.274 -2.337 -3.203 -3.774 -6.682 11.251 0.860" Properties=species:S:1:pos:R:3 pbc="T T T"
Si -1.215 -2.347 -5.722
Si -6.956 9.199 -2.465
Si -3.410 3.074 -3.129
Si -2.363 0.887 -3.832
Si -4.762 3.778 -5.058
Si -5.808 5.965 -4.356
Fe -0.929 -0.163 -2.191
Fe -7.242 7.015 -5.997
Er -5.269 7.135 -1.645
Er -2.902 -0.283 -6.543
Sc -2.233 -2.955 -8.697
Sc -5.938 9.806 0.509
Lu -5.226 2.592 -7.632
Lu -2.945 4.260 -0.556
```

Summary:
- SG = C2/m
- ΔE to the lowest computed polymorph (meV per atom) = 10

***

# 3
VASP calculation (GGA-PBE) on a relaxed ErLuScFeSi3 crystal.

Structure (extended XYZ):
```
14
Lattice="5.099 -2.023 0.000 5.099 2.023 0.000 -4.607 0.000 12.270" Properties=species:S:1:pos:R:3 pbc="T T T"
Si 1.088 0.000 9.227
Si 1.592 0.000 5.638
Si 5.901 0.000 0.946
Si 4.504 0.000 3.043
Si -0.309 0.000 11.323
Si 4.000 0.000 6.631
Sc -1.490 0.000 4.696
Sc 7.082 0.000 7.574
Fe 5.733 0.000 5.115
Fe -0.141 0.000 7.155
Lu 1.476 0.000 2.872
Lu 4.116 0.000 9.398
Er -3.186 0.000 11.251
Er 8.778 0.000 1.019
```

Summary:
- SG = C2/m
- ΔE to the lowest computed polymorph (meV per atom) = 2

***

# 4
VASP calculation (GGA-PBE) on a relaxed ErLuScFeSi3 crystal.

Structure (extended XYZ):
```
14
Lattice="5.103 -2.031 0.000 5.103 2.031 0.000 -4.824 0.000 12.240" Properties=species:S:1:pos:R:3 pbc="T T T"
Er 1.712 0.000 11.231
Er 3.671 0.000 1.010
Si -0.597 0.000 2.980
Si 5.979 0.000 9.260
Si 6.563 0.000 5.571
Si 4.569 0.000 11.281
Si 0.814 0.000 0.959
Si -1.180 0.000 6.669
Sc -1.096 0.000 9.412
Sc 6.479 0.000 2.828
Lu 3.491 0.000 4.630
Lu 1.892 0.000 7.610
Fe 4.865 0.000 7.150
Fe 0.518 0.000 5.090
```

Summary:
- SG = C2/m
- ΔE to the lowest computed polymorph (meV per atom) = 0

***

# 5
VASP calculation (GGA-PBE) on a relaxed ErLuScFeSi3 crystal.

Structure (extended XYZ):
```
14
Lattice="5.107 -2.033 0.000 5.107 2.033 0.000 -4.908 0.000 12.230" Properties=species:S:1:pos:R:3 pbc="T T T"
Fe 2.189 0.000 1.044
Fe 3.118 0.000 11.186
Si 2.025 0.000 9.058
Si -1.053 0.000 11.665
Si 6.360 0.000 0.565
Si 3.282 0.000 3.172
Si 3.472 0.000 7.062
Si 1.835 0.000 5.168
Sc 6.424 0.000 3.318
Sc -1.117 0.000 8.912
Er 9.428 0.000 1.516
Er -4.121 0.000 10.715
Lu 6.320 0.000 7.098
Lu -1.013 0.000 5.133
```

Summary:
- SG = C2/m
- ΔE to the lowest computed polymorph (meV per atom) = 12

***

# 6
VASP calculation (GGA-PBE) on a relaxed ErLuScFeSi3 crystal.

Structure (extended XYZ):
```
14
Lattice="5.071 -2.033 0.000 5.071 2.033 0.000 -4.605 0.000 12.264" Properties=species:S:1:pos:R:3 pbc="T T T"
Si 1.544 0.000 5.591
Si -0.407 0.000 11.399
Si 5.944 0.000 0.865
Si 4.521 0.000 2.904
Si 3.993 0.000 6.673
Si 1.016 0.000 9.359
Sc 8.798 0.000 0.972
Sc -3.262 0.000 11.291
Er 4.019 0.000 9.505
Er 1.517 0.000 2.758
Lu 7.019 0.000 7.629
Lu -1.482 0.000 4.635
Fe -0.134 0.000 7.189
Fe 5.671 0.000 5.075
```

Summary:
- SG = C2/m
- ΔE to the lowest computed polymorph (meV per atom) = 12

***

# 7
VASP calculation (GGA-PBE) on a relaxed ErLuFe2Si2 crystal.

Structure (extended XYZ):
```
6
Lattice="4.013 0.000 0.000 0.000 4.013 0.000 0.000 0.000 6.330" Properties=species:S:1:pos:R:3 pbc="T T T"
Fe 2.007 0.000 0.012
Fe 0.000 2.007 0.012
Lu 2.007 2.007 1.978
Si 2.007 2.007 5.161
Si 0.000 0.000 1.182
Er 0.000 0.000 4.316
```

Summary:
- final energy (Ry/atom) = -0.496
- SG = P4mm

***

# 8
VASP calculation (GGA-PBE) on a relaxed Er3Lu3FeTe2 crystal.

Structure (extended XYZ):
```
9
Lattice="-0.100 -3.117 -7.520 6.816 -0.302 4.441 -1.105 -3.486 1.459" Properties=species:S:1:pos:R:3 pbc="T T T"
Fe 0.000 0.000 0.000
Er 4.118 -2.096 -1.888
Er 2.637 -0.117 1.718
Er -0.039 -1.206 -2.910
Lu 4.674 -1.975 4.135
Lu -0.629 -4.133 -5.037
Lu 1.014 -2.541 0.011
Te 1.653 -3.922 -2.803
Te 3.958 -2.983 1.184
```

Summary:
- SG = P-62m
- ΔE to the lowest computed polymorph (meV per atom) = 0

***

# 9
VASP calculation (GGA-PBE) on a relaxed Er3Lu3FeTe2 crystal.

Structure (extended XYZ):
```
9
Lattice="-5.010 -2.041 -6.114 1.409 -5.285 6.061 -3.041 1.480 1.998" Properties=species:S:1:pos:R:3 pbc="T T T"
Lu -2.209 -4.494 -0.033
Lu -1.937 -0.789 -2.364
Lu 0.545 -2.043 2.343
Te -2.251 -3.464 3.001
Te -4.391 -2.382 -1.057
Fe 0.000 0.000 0.000
Er -2.368 -0.984 0.986
Er -5.352 -0.821 -3.676
Er -0.443 -3.301 5.633
```

Summary:
- SG = P-62m
- ΔE to the lowest computed polymorph (meV per atom) = 46

***

# 10
VASP calculation (GGA-PBE) on a relaxed Er3Lu4Fe2Te2 crystal.

Structure (extended XYZ):
```
11
Lattice="-4.788 -1.517 7.703 8.601 3.211 0.527 -9.118 0.541 -1.060" Properties=species:S:1:pos:R:3 pbc="T T T"
Lu -5.999 1.141 0.136
Lu -0.224 0.878 6.407
Lu -1.081 0.305 3.203
Lu -4.115 1.786 2.850
Te 0.365 2.153 1.082
Te 2.915 1.295 6.293
Er 1.639 2.719 3.831
Er -3.452 0.353 5.845
Er -2.483 1.602 -0.034
Fe 4.641 2.835 1.728
Fe -1.870 2.378 4.839
```

Summary:
- final energy (Ry/atom) = -0.402
- SG = Imm2

***

# 11
VASP calculation (GGA-PBE) on a relaxed Er4TmLu2Fe2Te2 crystal.

Structure (extended XYZ):
```
11
Lattice="2.210 -8.723 1.850 -8.708 2.765 0.961 7.390 -3.019 -4.545" Properties=species:S:1:pos:R:3 pbc="T T T"
Te 3.272 -7.273 -0.687
Te -2.193 -2.010 0.949
Er -0.734 -3.266 -1.542
Er 2.290 -4.886 -2.538
Er -2.474 -5.078 1.270
Er -3.603 0.243 -0.736
Fe 1.813 -3.158 -0.442
Fe 6.908 -9.390 -1.873
Lu 1.952 -1.575 -2.649
Lu 0.572 -5.906 0.209
Tm -0.007 -0.007 0.003
```

Summary:
- final energy (Ry/atom) = -0.402
- SG = Imm2